{
  "formula": "CsCa2TbCl8",
  "functional": "PBE",
  "state": "optimized geometry",
  "formation_energy_uncorrected_ev_per_atom": -2.2447,
  "volume_a3_per_atom": 32.52,
  "crystal_system": "triclinic",
  "magnetic_moment_mub_per_cell": 0.0,
  "cell": [[6.6978, 0.0391, -0.0004], [0.0951, 6.5041, -0.0007], [0.0119, 0.0187, 8.9597]],
  "species": ["Cs", "Ca", "Ca", "Tb", "Cl", "Cl", "Cl", "Cl", "Cl", "Cl", "Cl", "Cl"],
  "fractional_positions": [[0.0000, 0.0000, 0.5000], [0.5000, 0.4999, 0.7473], [0.5000, 0.5001, 0.2527], [0.0000, 0.0000, 0.0000], [0.1748, 0.7577, 0.2016], [0.6825, 0.7361, 0.9999], [0.8242, 0.2413, 0.2012], [0.8252, 0.2423, 0.7984], [0.3175, 0.2639, 0.0001], [0.1758, 0.7587, 0.7988], [0.6012, 0.7239, 0.4996], [0.3988, 0.2761, 0.5004]]
}


{
  "formula": "Cs2CaTbCl6",
  "functional": "PBE",
  "state": "optimized geometry",
  "formation_energy_uncorrected_ev_per_atom": -2.0772,
  "volume_a3_per_atom": 32.36,
  "crystal_system": "orthorhombic",
  "magnetic_moment_mub_per_cell": 1.6,
  "cell": [[7.7006, 0.0000, 0.0000], [0.0000, 7.7092, 0.0000], [0.0000, 0.0000, 10.9011]],
  "species": ["Cs", "Cs", "Cs", "Cs", "Ca", "Ca", "Tb", "Tb", "Cl", "Cl", "Cl", "Cl", "Cl", "Cl", "Cl", "Cl", "Cl", "Cl", "Cl", "Cl"],
  "fractional_positions": [[0.5000, 0.7503, 0.2500], [0.0000, 0.2497, 0.7500], [0.5000, 0.7503, 0.7500], [0.0000, 0.2497, 0.2500], [0.0000, 0.7495, 0.5000], [0.5000, 0.2505, 0.0000], [0.5000, 0.2495, 0.5000], [0.0000, 0.7505, 0.0000], [0.5000, 0.2497, 0.2515], [0.5000, 0.2497, 0.7485], [0.0000, 0.7503, 0.2485], [0.0000, 0.7503, 0.7515], [0.2516, 0.0008, 0.5000], [0.7484, 0.0008, 0.5000], [0.2513, 0.4979, 0.5000], [0.7487, 0.4979, 0.5000], [0.7513, 0.5021, 0.0000], [0.2487, 0.5021, 0.0000], [0.2484, 0.9992, 0.0000], [0.7516, 0.9992, 0.0000]]
}


{
  "formula": "Cs2CaTeCl6",
  "functional": "PBE",
  "state": "optimized geometry",
  "formation_energy_uncorrected_ev_per_atom": -1.5342,
  "volume_a3_per_atom": 36.48,
  "crystal_system": "tetragonal",
  "magnetic_moment_mub_per_cell": 2.0,
  "cell": [[8.2590, 0.0000, 0.0000], [0.0000, 8.2590, 0.0000], [4.1295, 4.1295, 5.3480]],
  "species": ["Cs", "Cs", "Ca", "Te", "Cl", "Cl", "Cl", "Cl", "Cl", "Cl"],
  "fractional_positions": [[0.7500, 0.2500, 0.5000], [0.2500, 0.7500, 0.5000], [0.5000, 0.5000, 0.0000], [0.0000, 0.0000, 0.0000], [0.2379, 0.2379, 0.5241], [0.7621, 0.7621, 0.4759], [0.2694, 0.2694, 0.0000], [0.7306, 0.7306, 0.0000], [0.7306, 0.2694, 0.0000], [0.2694, 0.7306, 0.0000]]
}


Repeat the second record exactly.
{
  "formula": "Cs2CaTbCl6",
  "functional": "PBE",
  "state": "optimized geometry",
  "formation_energy_uncorrected_ev_per_atom": -2.0772,
  "volume_a3_per_atom": 32.36,
  "crystal_system": "orthorhombic",
  "magnetic_moment_mub_per_cell": 1.6,
  "cell": [[7.7006, 0.0000, 0.0000], [0.0000, 7.7092, 0.0000], [0.0000, 0.0000, 10.9011]],
  "species": ["Cs", "Cs", "Cs", "Cs", "Ca", "Ca", "Tb", "Tb", "Cl", "Cl", "Cl", "Cl", "Cl", "Cl", "Cl", "Cl", "Cl", "Cl", "Cl", "Cl"],
  "fractional_positions": [[0.5000, 0.7503, 0.2500], [0.0000, 0.2497, 0.7500], [0.5000, 0.7503, 0.7500], [0.0000, 0.2497, 0.2500], [0.0000, 0.7495, 0.5000], [0.5000, 0.2505, 0.0000], [0.5000, 0.2495, 0.5000], [0.0000, 0.7505, 0.0000], [0.5000, 0.2497, 0.2515], [0.5000, 0.2497, 0.7485], [0.0000, 0.7503, 0.2485], [0.0000, 0.7503, 0.7515], [0.2516, 0.0008, 0.5000], [0.7484, 0.0008, 0.5000], [0.2513, 0.4979, 0.5000], [0.7487, 0.4979, 0.5000], [0.7513, 0.5021, 0.0000], [0.2487, 0.5021, 0.0000], [0.2484, 0.9992, 0.0000], [0.7516, 0.9992, 0.0000]]
}


Copy entry 1 word for word.
{
  "formula": "CsCa2TbCl8",
  "functional": "PBE",
  "state": "optimized geometry",
  "formation_energy_uncorrected_ev_per_atom": -2.2447,
  "volume_a3_per_atom": 32.52,
  "crystal_system": "triclinic",
  "magnetic_moment_mub_per_cell": 0.0,
  "cell": [[6.6978, 0.0391, -0.0004], [0.0951, 6.5041, -0.0007], [0.0119, 0.0187, 8.9597]],
  "species": ["Cs", "Ca", "Ca", "Tb", "Cl", "Cl", "Cl", "Cl", "Cl", "Cl", "Cl", "Cl"],
  "fractional_positions": [[0.0000, 0.0000, 0.5000], [0.5000, 0.4999, 0.7473], [0.5000, 0.5001, 0.2527], [0.0000, 0.0000, 0.0000], [0.1748, 0.7577, 0.2016], [0.6825, 0.7361, 0.9999], [0.8242, 0.2413, 0.2012], [0.8252, 0.2423, 0.7984], [0.3175, 0.2639, 0.0001], [0.1758, 0.7587, 0.7988], [0.6012, 0.7239, 0.4996], [0.3988, 0.2761, 0.5004]]
}